Entry 1:
This record from Alexandria via LeMat-Bulk describes a geometry-optimized LaTb4Tm2Sc structure. The functional is PBE.

Properties
The value obtained for the density of states at the Fermi level is 37.57 states/eV/cell. The energy relative to the elements comes out at 0.42 eV per atom. Its calculated volume is 31.9 Å³/atom. As for the space group: C2/c.

Unit cell a=9.360 b=9.360 c=11.575 alpha=128.15 beta=128.15 gamma=88.67
Positions (direct):
Tm 0.500 0.000 0.500
Tm 0.000 0.000 0.500
Tm 0.500 0.000 0.000
Tm 0.500 0.500 0.000
La 0.500 0.500 0.500
La 0.000 0.000 0.000
Sc 0.000 0.500 0.500
Sc 0.000 0.500 0.000
Tb 0.759 0.747 0.502
Tb 0.241 0.253 0.498
Tb 0.242 0.745 0.498
Tb 0.247 0.259 0.002
Tb 0.753 0.741 0.998
Tb 0.758 0.255 0.502
Tb 0.755 0.258 0.002
Tb 0.245 0.742 0.998


Entry 2:
This record from Alexandria via LeMat-Bulk describes a geometry-optimized La4In2N structure. The functional is PBE.

Properties
The value obtained for the uncorrected formation energy is -0.6635 eV/atom. The value obtained for the density of states at the Fermi level is 5.81 states/eV/cell. Its calculated volume is 30.6 Å³/atom. As for the space group: I4/mmm.

Unit cell a=5.081 b=5.081 c=9.030 alpha=73.66 beta=73.66 gamma=90.00
Positions (direct):
In 0.363 0.363 0.274
In 0.637 0.637 0.726
La 0.000 0.500 0.000
La 0.838 0.838 0.325
La 0.162 0.162 0.675
La 0.500 0.000 0.000
N 0.000 0.000 0.000


Entry 3:
This record from Alexandria via LeMat-Bulk describes a geometry-optimized Ta2TiW structure. The functional is PBE.

Properties
The value obtained for the density of states at the Fermi level is 3.90 states/eV/cell. The energy relative to the elements comes out at 0.68 eV per atom. Its calculated volume is 18.6 Å³/atom. As for the space group: Immm.

Unit cell a=6.058 b=6.058 c=6.058 alpha=55.72 beta=153.04 gamma=132.21
Positions (direct):
Ta 0.000 0.748 0.748
Ta 0.000 0.252 0.252
Ti 0.000 0.000 0.000
W 0.000 0.500 0.500